w) KNiIr3: optimized geometry, PBE.

D(E_F), states/eV per atom: 1.362
Volume, Å³ per atom: 20.31
Total magnetic moment, μB per formula unit: 3.7
Crystal system: cubic

Lattice parameters (Å, degrees): 4.665 4.665 4.665 90.00 90.00 90.00
Sites, in units of the cell vectors:
K 0.000 0.000 0.000
Ni 0.500 0.500 0.500
Ir 0.000 0.000 0.500
Ir 0.000 0.500 0.000
Ir 0.500 0.000 0.000


x) KNiIr3: optimized geometry, PBE.

D(E_F), states/eV per atom: 1.390
Volume, Å³ per atom: 19.89
Total magnetic moment, μB per formula unit: 3.3
Crystal system: cubic

Lattice parameters (Å, degrees): 4.633 4.633 4.633 90.00 90.00 90.00
Sites, in units of the cell vectors:
K 0.000 0.000 0.000
Ni 0.500 0.500 0.500
Ir 0.000 0.500 0.500
Ir 0.500 0.000 0.500
Ir 0.500 0.500 0.000


Stability order, top to bottom: x), w)


w) K2NiIr: optimized geometry, PBE.

D(E_F), states/eV per atom: 0.849
Volume, Å³ per atom: 27.70
Total magnetic moment, μB per formula unit: 1.3
Crystal system: monoclinic

Lattice parameters (Å, degrees): 9.747 9.747 4.141 101.02 101.02 16.69
Sites, in units of the cell vectors:
K 0.143 0.143 0.140
K 0.857 0.857 0.860
Ni 0.500 0.500 0.000
Ir 0.000 0.000 0.500


x) K2NiIr: optimized geometry, PBE.

D(E_F), states/eV per atom: 1.272
Volume, Å³ per atom: 20.84
Total magnetic moment, μB per formula unit: 0.3
Crystal system: orthorhombic

Lattice parameters (Å, degrees): 2.820 2.820 10.480 90.00 90.00 90.11
Sites, in units of the cell vectors:
K 0.000 0.000 0.249
K 0.000 0.000 0.751
Ni 0.500 0.500 0.000
Ir 0.500 0.500 0.500


y) K2NiIr: optimized geometry, PBE.

D(E_F), states/eV per atom: 1.399
Volume, Å³ per atom: 20.71
Total magnetic moment, μB per formula unit: 1.0
Crystal system: tetragonal

Lattice parameters (Å, degrees): 5.948 5.948 5.948 140.95 140.95 56.41
Sites, in units of the cell vectors:
K 0.250 0.750 0.500
K 0.750 0.250 0.500
Ni 0.000 0.000 0.000
Ir 0.500 0.500 0.000


Stability order, top to bottom: w), x), y)


w) K2NiIr: optimized geometry, PBE.

D(E_F), states/eV per atom: 0.675
Volume, Å³ per atom: 34.09
Total magnetic moment, μB per formula unit: 1.4
Crystal system: monoclinic

Lattice parameters (Å, degrees): 4.087 4.087 9.667 101.17 101.17 60.02
Sites, in units of the cell vectors:
K 0.000 0.000 0.000
K 0.155 0.155 0.506
Ni 0.410 0.410 0.253
Ir 0.744 0.744 0.253


x) K2NiIr: optimized geometry, PBE.

D(E_F), states/eV per atom: 0.858
Volume, Å³ per atom: 19.62
Total magnetic moment, μB per formula unit: 0.1
Crystal system: trigonal

Lattice parameters (Å, degrees): 10.957 10.957 10.957 15.17 15.17 15.17
Sites, in units of the cell vectors:
K 0.249 0.249 0.249
K 0.751 0.751 0.751
Ni 0.500 0.500 0.500
Ir 0.000 0.000 0.000


Stability order, top to bottom: w), x)


w) KNiIr2: optimized geometry, PBE.

D(E_F), states/eV per atom: 1.731
Volume, Å³ per atom: 17.40
Total magnetic moment, μB per formula unit: 0.2
Crystal system: tetragonal

Lattice parameters (Å, degrees): 5.263 5.263 2.512 90.00 90.00 90.00
Sites, in units of the cell vectors:
K 0.000 0.000 0.000
Ni 0.500 0.500 0.000
Ir 0.000 0.500 0.500
Ir 0.500 0.000 0.500


x) KNiIr2: optimized geometry, PBE.

D(E_F), states/eV per atom: 1.566
Volume, Å³ per atom: 16.42
Total magnetic moment, μB per formula unit: 2.4
Crystal system: cubic

Lattice parameters (Å, degrees): 4.528 4.528 4.528 60.00 60.00 60.00
Sites, in units of the cell vectors:
K 0.000 0.000 0.000
Ni 0.500 0.500 0.500
Ir 0.250 0.250 0.250
Ir 0.750 0.750 0.750


y) KNiIr2: optimized geometry, PBE.

D(E_F), states/eV per atom: 1.182
Volume, Å³ per atom: 18.92
Total magnetic moment, μB per formula unit: 0.0
Crystal system: orthorhombic

Lattice parameters (Å, degrees): 2.591 3.802 7.683 90.00 90.00 90.00
Sites, in units of the cell vectors:
K 0.000 0.000 0.000
Ni 0.000 0.000 0.500
Ir 0.500 0.500 0.336
Ir 0.500 0.500 0.664


z) KNiIr2: optimized geometry, PBE.

D(E_F), states/eV per atom: 1.438
Volume, Å³ per atom: 16.96
Total magnetic moment, μB per formula unit: 2.2
Crystal system: tetragonal

Lattice parameters (Å, degrees): 5.292 5.292 5.292 137.10 137.10 62.29
Sites, in units of the cell vectors:
K 0.000 0.000 0.000
Ni 0.500 0.500 0.000
Ir 0.250 0.750 0.500
Ir 0.750 0.250 0.500


Stability order, top to bottom: y), z), w), x)


w) KNiIr: optimized geometry, PBE.

D(E_F), states/eV per atom: 1.188
Volume, Å³ per atom: 21.13
Total magnetic moment, μB per formula unit: 2.1
Crystal system: cubic

Lattice parameters (Å, degrees): 4.476 4.476 4.476 60.00 60.00 60.00
Sites, in units of the cell vectors:
K 0.000 0.000 0.000
Ni 0.750 0.750 0.750
Ir 0.500 0.500 0.500


x) KNiIr: optimized geometry, PBE.

D(E_F), states/eV per atom: 1.122
Volume, Å³ per atom: 20.60
Total magnetic moment, μB per formula unit: 0.0
Crystal system: orthorhombic

Lattice parameters (Å, degrees): 6.278 6.278 6.278 155.73 142.45 45.21
Sites, in units of the cell vectors:
K 0.000 0.000 0.000
Ni 0.271 0.271 0.000
Ir 0.722 0.722 0.000


y) KNiIr: optimized geometry, PBE.

D(E_F), states/eV per atom: 1.666
Volume, Å³ per atom: 17.42
Total magnetic moment, μB per formula unit: 0.4
Crystal system: trigonal

Lattice parameters (Å, degrees): 2.810 2.810 7.643 90.00 90.00 120.00
Sites, in units of the cell vectors:
K 0.000 0.000 0.000
Ni 0.667 0.333 0.372
Ir 0.333 0.667 0.626


Stability order, top to bottom: x), y), w)


w) K2IrO5: optimized geometry, PBE.

D(E_F), states/eV per atom: 0.448
Volume, Å³ per atom: 15.91
Total magnetic moment, μB per formula unit: 0.7
Crystal system: monoclinic

Lattice parameters (Å, degrees): 7.182 7.182 7.312 116.42 116.42 50.83
Sites, in units of the cell vectors:
K 0.000 0.000 0.000
K 0.000 0.000 0.500
K 0.324 0.327 0.469
K 0.327 0.324 0.969
Ir 0.662 0.663 0.485
Ir 0.663 0.662 0.985
O 0.356 0.890 0.354
O 0.433 0.573 0.871
O 0.437 0.969 0.117
O 0.524 0.801 0.735
O 0.573 0.433 0.371
O 0.752 0.893 0.599
O 0.801 0.524 0.235
O 0.890 0.356 0.854
O 0.893 0.752 0.099
O 0.969 0.437 0.617


x) K2IrO5: optimized geometry, PBE.

D(E_F), states/eV per atom: 0.580
Volume, Å³ per atom: 18.45
Total magnetic moment, μB per formula unit: 1.0
Crystal system: tetragonal

Lattice parameters (Å, degrees): 6.200 6.200 3.840 90.00 90.00 90.00
Sites, in units of the cell vectors:
K 0.000 0.500 0.000
K 0.500 0.000 0.000
Ir 0.000 0.000 0.500
O 0.000 0.000 0.000
O 0.213 0.213 0.500
O 0.213 0.787 0.500
O 0.787 0.213 0.500
O 0.787 0.787 0.500


Stability order, top to bottom: w), x)